A plane-wave DFT calculation with PBE was carried out for a relaxed structure of BAsI3.

Formation energy without anion corrections = 5.25 eV per formula unit
DOS at the Fermi energy = 3.65 states/eV/cell
Space group = No. 221
Offset from the most stable computed form = 71 meV per atom

Structure (POSCAR):
```
BAsI3
1.0
-3.0503 -1.7479 4.5003
4.8203 -1.3986 2.7241
0.2684 5.2537 2.2224
I As B
3 1 1
Direct
0.0000 0.5000 0.0000
0.0000 0.0000 0.5000
0.5000 0.0000 0.0000
0.0000 0.0000 0.0000
0.5000 0.5000 0.5000
```